No. 1
Computed, not measured: a relaxed structure of CaLa3Os at the PBE level of DFT.

Cell lengths 3.995, 10.468, 10.468 Å; angles 137.74, 90.00, 90.00 degrees
Positions (direct):
La 0.000 0.275 0.725
La 0.500 0.170 0.327
La 0.500 0.673 0.830
Os 0.000 0.408 0.592
Ca 0.500 0.102 0.898

Calculated values
- Density of states at the Fermi level: 6.1 states/eV per cell
- Distance to the lowest polymorph of the same formula: 3.066 eV/f.u.


No. 2
Computed, not measured: a relaxed structure of CaLaOs2 at the PBE level of DFT.

Cell lengths 4.914, 4.914, 4.914 Å; angles 60.00, 60.00, 60.00 degrees
Positions (direct):
Os 0.750 0.750 0.750
Os 0.250 0.250 0.250
La 0.500 0.500 0.500
Ca 0.000 0.000 0.000

Calculated values
- Density of states at the Fermi level: 4.0 states/eV per cell
- Distance to the lowest polymorph of the same formula: 1.123 eV/f.u.


No. 3
Computed, not measured: a relaxed structure of CaLa2Os at the PBE level of DFT.

Cell lengths 5.325, 5.325, 5.325 Å; angles 60.00, 60.00, 60.00 degrees
Positions (direct):
Ca 0.000 0.000 0.000
Os 0.500 0.500 0.500
La 0.750 0.750 0.750
La 0.250 0.250 0.250

Calculated values
- Density of states at the Fermi level: 4.5 states/eV per cell
- Distance to the lowest polymorph of the same formula: 1.097 eV/f.u.


No. 4
Computed, not measured: a relaxed structure of CaLaOs2 at the PBE level of DFT.

Cell lengths 3.062, 3.062, 9.315 Å; angles 90.00, 90.00, 113.41 degrees
Positions (direct):
La 0.500 0.500 0.750
Os 0.000 0.000 0.997
Os 0.000 0.000 0.503
Ca 0.500 0.500 0.250

Calculated values
- Density of states at the Fermi level: 2.8 states/eV per cell
- Distance to the lowest polymorph of the same formula: 1.393 eV/f.u.


No. 5
Computed, not measured: a relaxed structure of CaLaOs2 at the PBE level of DFT.

Cell lengths 3.161, 4.398, 6.240 Å; angles 90.00, 90.00, 90.00 degrees
Positions (direct):
Os 0.000 0.000 0.446
Os 0.000 0.000 0.054
Ca 0.500 0.500 0.250
La 0.500 0.500 0.750

Calculated values
- Density of states at the Fermi level: 5.3 states/eV per cell
- Distance to the lowest polymorph of the same formula: 1.034 eV/f.u.


No. 6
Computed, not measured: a relaxed structure of CaLa3Os at the PBE level of DFT.

Cell lengths 6.684, 12.261, 8.006 Å; angles 90.00, 90.00, 90.00 degrees
Positions (direct):
La 0.459 0.622 0.630
La 0.541 0.378 0.370
La 0.959 0.622 0.870
La 0.459 0.878 0.630
La 0.786 0.750 0.271
La 0.959 0.878 0.870
La 0.041 0.122 0.130
La 0.214 0.250 0.729
La 0.714 0.250 0.771
La 0.041 0.378 0.130
La 0.541 0.122 0.370
La 0.286 0.750 0.229
Ca 0.000 0.000 0.500
Ca 0.500 0.000 0.000
Ca 0.000 0.500 0.500
Ca 0.500 0.500 0.000
Os 0.599 0.750 0.938
Os 0.901 0.250 0.438
Os 0.401 0.250 0.062
Os 0.099 0.750 0.562

Calculated values
- Density of states at the Fermi level: 15.5 states/eV per cell
- Distance to the lowest polymorph of the same formula: 1.045 eV/f.u.


No. 7
Computed, not measured: a relaxed structure of Ca2La3Os at the PBE level of DFT.

Cell lengths 5.699, 8.261, 10.474 Å; angles 78.63, 105.79, 90.00 degrees
Positions (direct):
La 0.902 0.549 0.803
La 0.500 0.250 0.000
La 0.098 0.951 0.197
La 0.098 0.451 0.197
La 0.500 0.750 0.000
La 0.902 0.049 0.803
Ca 0.300 0.850 0.599
Ca 0.300 0.350 0.599
Ca 0.700 0.650 0.401
Ca 0.700 0.150 0.401
Os 0.000 0.750 0.000
Os 0.000 0.250 0.000

Calculated values
- Density of states at the Fermi level: 12.3 states/eV per cell


No. 8
Computed, not measured: a relaxed structure of CaLa3Os at the PBE level of DFT.

Cell lengths 6.319, 7.280, 7.574 Å; angles 90.00, 82.91, 90.00 degrees
Positions (direct):
La 0.879 0.106 0.586
La 0.322 0.399 0.744
La 0.252 0.405 0.262
La 0.278 0.899 0.256
La 0.721 0.606 0.414
La 0.348 0.904 0.738
Os 0.109 0.685 0.546
Os 0.491 0.185 0.454
Ca 0.775 0.155 0.098
Ca 0.825 0.655 0.902

Calculated values
- Density of states at the Fermi level: 12.0 states/eV per cell
- Distance to the lowest polymorph of the same formula: 0.072 eV/f.u.


No. 9
Computed, not measured: a relaxed structure of CaLa3Os at the PBE level of DFT.

Cell lengths 6.532, 7.598, 7.598 Å; angles 70.66, 101.16, 101.16 degrees
Positions (direct):
Ca 0.200 0.055 0.255
Ca 0.800 0.345 0.545
La 0.298 0.122 0.746
La 0.782 0.778 0.978
La 0.702 0.278 0.054
La 0.218 0.622 0.822
La 0.702 0.854 0.478
La 0.298 0.546 0.322
Os 0.463 0.893 0.093
Os 0.537 0.507 0.707

Calculated values
- Density of states at the Fermi level: 9.4 states/eV per cell
- Distance to the lowest polymorph of the same formula: 0.026 eV/f.u.


No. 10
Computed, not measured: a relaxed structure of CaLaPmOs at the PBE level of DFT.

Cell lengths 5.278, 5.278, 5.278 Å; angles 60.00, 60.00, 60.00 degrees
Positions (direct):
Ca 0.750 0.750 0.750
La 0.500 0.500 0.500
Pm 0.000 0.000 0.000
Os 0.250 0.250 0.250

Calculated values
- Density of states at the Fermi level: 3.9 states/eV per cell


No. 11
Computed, not measured: a relaxed structure of RbCa2LaOs at the PBE level of DFT.

Cell lengths 5.986, 5.986, 5.373 Å; angles 90.00, 90.00, 90.00 degrees
Positions (direct):
La 0.000 0.000 0.500
Rb 0.500 0.500 0.500
Ca 0.000 0.500 0.000
Ca 0.500 0.000 0.000
Os 0.000 0.000 0.000

Calculated values
- Density of states at the Fermi level: 5.6 states/eV per cell


No. 12
Computed, not measured: a relaxed structure of RbCaLa2Os at the PBE level of DFT.

Cell lengths 5.661, 5.661, 6.110 Å; angles 90.00, 90.00, 90.00 degrees
Positions (direct):
La 0.500 0.000 0.000
La 0.000 0.500 0.000
Os 0.000 0.000 0.000
Ca 0.000 0.000 0.500
Rb 0.500 0.500 0.500

Calculated values
- Density of states at the Fermi level: 5.3 states/eV per cell


Results for VASP energy: -5.087 -6.791 -5.552 -6.724 -6.813 -5.491 -5.071 -5.686 -5.695 -5.527 -4.045 -4.701 (in eV/atom, following the order of the records).
Results for ΔE_f: 0.516 0.556 0.220 0.624 0.534 0.112 -0.069 -0.083 -0.092 0.200 0.180 0.110 (in eV/atom, following the order of the records).